Entry 1:
This record from the Alexandria database describes a relaxed PuH2Au crystal. The functional is PBE.

abc: 3.7496 3.7496 13.8618
angles: 90.00 90.00 120.00
Last column: nearest neighbours and their distance in Å.
Space group R-3m (No. 166, hexagonal axes)
Inequivalent atoms, fractional coordinates:
1 Pu 0.0000 0.0000 0.0000 x3  6 H 2.21
2 H 0.0000 0.0000 0.3002 x6  3 Pu 2.21, 3 H 2.35
3 Au 0.0000 0.0000 0.5000 x3  8 H 2.77-2.85

Computed properties:
crystal system = trigonal



Entry 2:
This record from the Alexandria database describes a relaxed Pu2H2Au crystal. The functional is PBE.

abc: 3.6532 3.6532 12.7052
angles: 90.00 90.00 90.00
Last column: nearest neighbours and their distance in Å.
Space group I4/mmm (No. 139)
Inequivalent atoms, fractional coordinates:
1 Pu 0.0000 0.0000 0.1447 x4  4 H 2.26
2 H 0.0000 0.5000 0.2500 x4  4 Pu 2.26
3 Au 0.0000 0.0000 0.5000 x2  8 Pu 3.17

Computed properties:
crystal system = tetragonal



Entry 3:
This record from the Alexandria database describes a relaxed Pu2H12Rh3Au crystal. The functional is PBE.

abc: 6.1994 6.1994 14.7347
angles: 90.00 90.00 120.00
Last column: nearest neighbours and their distance in Å.
Space group R-3m (No. 166, hexagonal axes)
Inequivalent atoms, fractional coordinates:
1 Pu 0.0000 0.0000 0.1118 x6  9 H 2.33-2.58
2 H 0.0115 0.5058 0.8849 x18  1 Rh 1.70
3 H 0.0188 0.5094 0.3406 x18  2 Rh 1.74, 2 H 1.90
4 Rh 0.0000 0.5000 0.0000 x9  6 H 1.70-1.74
5 Au 0.0000 0.0000 0.5000 x3  6 H 2.00

Computed properties:
crystal system = trigonal



Entry 4:
This record from the Alexandria database describes a relaxed PuH7Rh2Au crystal. The functional is PBE.

abc: 3.5478 3.5478 17.1357
angles: 90.00 90.00 90.00
Last column: nearest neighbours and their distance in Å.
Space group I-4m2 (No. 119)
Inequivalent atoms, fractional coordinates:
1 Pu 0.0000 0.0000 0.0000 x2  12 H 2.45-2.53
2 H 0.0000 0.0000 0.2842 x4  1 Rh 1.80, 2 Au 1.87
3 H 0.0000 0.0000 0.5000 x2  2 Rh 1.90
4 H 0.0000 0.5000 0.0985 x4  2 Rh 1.79
5 H 0.0000 0.5000 0.6055 x4  2 Rh 1.78
6 Rh 0.0000 0.0000 0.3893 x4  6 H 1.78-1.90
7 Au 0.0000 0.5000 0.2500 x2  4 H 1.87

Computed properties:
crystal system = tetragonal



Entry 5:
This record from the Alexandria database describes a relaxed Rb2H3Au2 crystal. The functional is PBE.

abc: 15.2096 4.6232 4.8065
angles: 90.00 93.96 90.00
Last column: nearest neighbours and their distance in Å.
Space group C2/m (No. 12)
Inequivalent atoms, fractional coordinates:
1 Rb 0.1360 0.0000 0.2283 x4  3 H 2.87-3.06
2 H 0.0000 0.5000 0.0000 x2  2 Au 1.79
3 H 0.1776 0.5000 0.6344 x4  1 Au 1.69
4 Au 0.0719 0.5000 0.7199 x4  2 H 1.69-1.79

Computed properties:
crystal system = monoclinic



Entry 6:
This record from the Alexandria database describes a relaxed Rb2H6Au3 crystal. The functional is PBE.

abc: 12.5147 11.2944 7.4070
angles: 90.00 102.37 90.00
Last column: nearest neighbours and their distance in Å.
Space group C2/c (No. 15)
Inequivalent atoms, fractional coordinates:
1 Rb 0.1788 0.1426 0.2078 x8  4 H 2.79-3.07
2 H 0.0015 0.4789 0.5554 x8  1 H 0.94
3 H 0.0289 0.2264 0.4600 x8  1 Au 1.65
4 H 0.1865 0.1077 0.8328 x8  1 Au 1.67
5 Au 0.0000 0.3814 0.7500 x4  2 H 1.82
6 Au 0.1019 0.1682 0.6520 x8  2 H 1.65-1.67

Computed properties:
crystal system = monoclinic



Entry 7:
This record from the Alexandria database describes a relaxed Rb3H8Au2 crystal. The functional is PBE.

abc: 6.0800 6.0800 21.3692
angles: 90.00 90.00 120.00
Last column: nearest neighbours and their distance in Å.
Space group R-3m (No. 166, hexagonal axes)
Inequivalent atoms, fractional coordinates:
1 Rb 0.0000 0.0000 0.0000 x3  6 H 2.91
2 Rb 0.0000 0.0000 0.2213 x6  10 H 2.94-3.04
3 H 0.0000 0.0000 0.3588 x6  1 Au 1.67
4 H 0.0054 0.5027 0.2259 x18  1 Au 1.73
5 Au 0.0000 0.0000 0.4369 x6  4 H 1.67-1.73

Computed properties:
crystal system = trigonal



Entry 8:
This record from the Alexandria database describes a relaxed Rb6HAu2 crystal. The functional is PBE.

abc: 7.8857 9.3013 13.6151
angles: 90.00 123.85 90.00
Last column: nearest neighbours and their distance in Å.
Space group P2_1/c (No. 14)
Inequivalent atoms, fractional coordinates:
1 Rb 0.1268 0.1582 0.4414 x4  1 H 2.97
2 Rb 0.2910 0.6927 0.4412 x4  1 H 3.17
3 Rb 0.3718 0.0315 0.2517 x4  1 H 2.95
4 H 0.5000 0.0000 0.5000 x2  6 Rb 2.95-3.17
5 Au 0.1976 0.1171 0.7466 x4  7 Rb 3.52-3.89

Computed properties:
crystal system = monoclinic



Taking the records one at a time from the top gives DFT total energy values of -75.42 -80.89 -289.19 -114.39 -39.20 -130.19 -107.46 -33.99 eV for the cell shown.